[1]
Here is Nd2Sm3Y4 after structural relaxation from the Alexandria database. Energies are from PBE-GGA.

N(E_F), states/eV per atom: 1.484
ΔE_f, eV/atom: 0.0910
SG: C2/c (15)

a b c (Å): 6.1361 11.4058 11.4058
angles (deg): 62.00 63.23 63.23
Last column: nearest neighbours and their distance in Å.
Sites, in units of the cell vectors:
1 Nd 0.4293 0.2751 0.5129  4 Sm 3.36-3.56, 3 Y 3.41-3.55, 1 Nd 3.53
2 Nd 0.0707 0.4871 0.7249  4 Sm 3.36-3.56, 3 Y 3.41-3.55, 1 Nd 3.53
3 Nd 0.5707 0.7249 0.4871  4 Sm 3.36-3.56, 3 Y 3.41-3.55, 1 Nd 3.53
4 Nd 0.9293 0.5129 0.2751  4 Sm 3.36-3.56, 3 Y 3.41-3.55, 1 Nd 3.53
5 Sm 0.7578 0.0128 0.3160  1 Nd 3.36, 7 Y 3.42-3.61
6 Sm 0.7422 0.6840 0.9872  1 Nd 3.36, 7 Y 3.42-3.61
7 Sm 0.2422 0.9872 0.6840  1 Nd 3.36, 7 Y 3.42-3.61
8 Sm 0.2578 0.3160 0.0128  1 Nd 3.36, 7 Y 3.42-3.61
9 Sm 0.2500 0.6437 0.3563  4 Y 3.49-3.88, 6 Nd 3.54-3.56, 2 Sm 3.88
10 Sm 0.7500 0.3563 0.6437  4 Y 3.49-3.88, 6 Nd 3.54-3.56, 2 Sm 3.88
11 Y 0.4189 0.9514 0.1713  3 Y 3.30-3.47, 4 Sm 3.49-3.61, 1 Nd 3.55
12 Y 0.0811 0.8287 0.0486  3 Y 3.30-3.47, 4 Sm 3.49-3.61, 1 Nd 3.55
13 Y 0.5811 0.0486 0.8287  3 Y 3.30-3.47, 4 Sm 3.49-3.61, 1 Nd 3.55
14 Y 0.9189 0.1713 0.9514  3 Y 3.30-3.47, 4 Sm 3.49-3.61, 1 Nd 3.55
15 Y 0.0908 0.1592 0.3786  2 Nd 3.41-3.47, 4 Sm 3.42-3.60, 2 Y 3.46-3.68
16 Y 0.4092 0.6214 0.8408  2 Nd 3.41-3.47, 4 Sm 3.42-3.60, 2 Y 3.46-3.68
17 Y 0.9092 0.8408 0.6214  2 Nd 3.41-3.47, 4 Sm 3.42-3.60, 2 Y 3.46-3.68
18 Y 0.5908 0.3786 0.1592  2 Nd 3.41-3.47, 4 Sm 3.42-3.60, 2 Y 3.46-3.68



[2]
Here is Cd4AgBr after structural relaxation from the Alexandria database. Energies are from PBE-GGA.

N(E_F), states/eV per atom: 0.734
Energy relative to the elements, uncorrected, meV/atom: 124.9
SG: F-43m (216)

a b c (Å): 5.9494 5.9494 5.9494
angles (deg): 60.00 60.00 60.00
Last column: nearest neighbours and their distance in Å.
Sites, in units of the cell vectors:
1 Cd 0.8726 0.3758 0.3758  6 Cd 2.96-2.99
2 Cd 0.3758 0.3758 0.8726  6 Cd 2.96-2.99
3 Cd 0.3758 0.8726 0.3758  6 Cd 2.96-2.99
4 Cd 0.3758 0.3758 0.3758  6 Cd 2.96-2.99
5 Ag 0.7500 0.7500 0.7500  12 Cd 3.49, 4 Br 3.64
6 Br 0.0000 0.0000 0.0000  12 Cd 3.49, 4 Ag 3.64



[3]
Here is Ac2Mg6Pt3 after structural relaxation from the Alexandria database. Energies are from PBE-GGA.

N(E_F), states/eV per atom: 0.364
ΔE_f, eV/atom: -0.6188
SG: P-62m (189)

a b c (Å): 4.3144 8.3927 8.3927
angles (deg): 120.00 90.00 90.00
Last column: nearest neighbours and their distance in Å.
Sites, in units of the cell vectors:
1 Ac 0.0000 0.6667 0.3333  6 Pt 3.38, 9 Mg 3.46-3.69
2 Ac 0.0000 0.3333 0.6667  6 Pt 3.38, 9 Mg 3.46-3.69
3 Mg 0.5000 0.7105 0.7105  3 Pt 2.71-2.93
4 Mg 0.5000 0.0000 0.2895  3 Pt 2.71-2.93
5 Mg 0.0000 0.2058 0.2058  2 Pt 2.64
6 Mg 0.0000 0.7942 0.0000  2 Pt 2.64
7 Mg 0.5000 0.2895 0.0000  3 Pt 2.71-2.93
8 Mg 0.0000 0.0000 0.7942  2 Pt 2.64
9 Pt 0.5000 0.3875 0.3875  5 Mg 2.64-2.93
10 Pt 0.5000 0.6125 0.0000  5 Mg 2.64-2.93
11 Pt 0.5000 0.0000 0.6125  5 Mg 2.64-2.93



[4]
Here is Ac2ThGe3 after structural relaxation from the Alexandria database. Energies are from PBE-GGA.

N(E_F), states/eV per atom: 0.984
ΔE_f, eV/atom: -0.6048
SG: Immm (71)

a b c (Å): 4.4893 6.3358 7.7797
angles (deg): 114.03 106.77 90.00
Last column: nearest neighbours and their distance in Å.
Sites, in units of the cell vectors:
1 Ac 0.6707 0.1707 0.3414  6 Ge 3.18-3.29
2 Ac 0.3293 0.8293 0.6586  6 Ge 3.18-3.29
3 Th 0.0000 0.5000 0.0000  6 Ge 3.03-3.17
4 Ge 0.3490 0.3490 0.6979  2 Th 3.03, 4 Ac 3.18-3.29
5 Ge 0.0000 0.0000 0.0000  2 Th 3.17, 4 Ac 3.21
6 Ge 0.6510 0.6510 0.3021  2 Th 3.03, 4 Ac 3.18-3.29



[5]
Here is Cs2GaReCl6 after structural relaxation from the Alexandria database. Energies are from PBE-GGA.

N(E_F), states/eV per atom: 1.221
Energy relative to the elements, uncorrected, meV/atom: -1110.6
SG: Fm-3m (225)

a b c (Å): 7.5435 7.5435 7.5435
angles (deg): 60.00 60.00 90.00
Last column: nearest neighbours and their distance in Å.
Sites, in units of the cell vectors:
1 Cs 0.7500 0.2500 0.5000  12 Cl 3.78
2 Cs 0.2500 0.7500 0.5000  12 Cl 3.78
3 Re 0.0000 0.0000 0.0000  6 Cl 2.42
4 Ga 0.5000 0.5000 0.0000  6 Cl 2.91
5 Cl 0.2269 0.2269 0.5462  1 Re 2.42
6 Cl 0.7731 0.7731 0.4538  1 Re 2.42
7 Cl 0.2268 0.2268 0.0000  1 Re 2.42
8 Cl 0.7732 0.7732 0.0000  1 Re 2.42
9 Cl 0.7732 0.2268 0.0000  1 Re 2.42
10 Cl 0.2268 0.7732 0.0000  1 Re 2.42



[6]
Here is SmHoMg after structural relaxation from the Alexandria database. Energies are from PBE-GGA.

N(E_F), states/eV per atom: 1.283
ΔE_f, eV/atom: 0.0227
SG: P2_1 (4)

a b c (Å): 5.4325 3.4437 10.0995
angles (deg): 70.22 90.00 90.01
Last column: nearest neighbours and their distance in Å.
Sites, in units of the cell vectors:
1 Sm 0.9772 0.0655 0.7450  4 Sm 3.12-3.44, 1 Mg 3.22
2 Sm 0.4772 0.2192 0.5834  4 Sm 3.12-3.44, 1 Mg 3.22
3 Ho 0.4772 0.3823 0.9252  2 Ho 3.44, 6 Mg 3.49-3.56, 6 Sm 3.64-3.68
4 Ho 0.9769 0.9020 0.4032  2 Ho 3.44, 6 Mg 3.49-3.56, 6 Sm 3.64-3.68
5 Mg 0.4760 0.5643 0.2444  4 Mg 3.11-3.44, 1 Sm 3.22
6 Mg 0.9770 0.7189 0.0839  4 Mg 3.11-3.44, 1 Sm 3.22



[7]
Here is SrVH after structural relaxation from the Alexandria database. Energies are from PBE-GGA.

N(E_F), states/eV per atom: 2.186
Calculated total energy, eV/cell: -9.68
SG: F-43m (216)

a b c (Å): 4.9708 4.9708 4.9708
angles (deg): 60.00 60.00 60.00
Last column: nearest neighbours and their distance in Å.
Sites, in units of the cell vectors:
1 Sr 0.0000 0.0000 0.0000  4 H 3.04, 4 V 3.04
2 V 0.7500 0.7500 0.7500  4 Sr 3.04
3 H 0.2500 0.2500 0.2500  4 Sr 3.04



[8]
Here is Er2Ga3Ni2 after structural relaxation from the Alexandria database. Energies are from PBE-GGA.

N(E_F), states/eV per atom: 0.788
ΔE_f, eV/atom: -0.6067
SG: C2/m (12)

a b c (Å): 4.0391 5.3818 6.7549
angles (deg): 113.96 90.00 112.04
Last column: nearest neighbours and their distance in Å.
Sites, in units of the cell vectors:
1 Er 0.8553 0.7106 0.2207  4 Ni 2.82-2.96, 2 Ga 3.00
2 Er 0.1447 0.2894 0.7793  4 Ni 2.82-2.96, 2 Ga 3.00
3 Ga 0.5000 0.0000 0.0000  4 Ni 2.49, 2 Ga 2.70
4 Ga 0.6329 0.2658 0.4441  3 Ni 2.48-2.58, 1 Ga 2.70
5 Ga 0.3671 0.7342 0.5559  3 Ni 2.48-2.58, 1 Ga 2.70
6 Ni 0.8654 0.7309 0.7920  5 Ga 2.48-2.58
7 Ni 0.1346 0.2691 0.2080  5 Ga 2.48-2.58



[9]
Here is LiLa2Pa after structural relaxation from the Alexandria database. Energies are from PBE-GGA.

N(E_F), states/eV per atom: 1.260
ΔE_f, eV/atom: 0.3279
SG: R-3m (166)

a b c (Å): 3.2790 3.2790 12.4511
angles (deg): 82.43 82.43 60.00
Last column: nearest neighbours and their distance in Å.
Sites, in units of the cell vectors:
1 Pa 0.0000 0.0000 0.0000  2 La 3.13, 6 Pa 3.28
2 Li 0.5000 0.5000 0.5000  6 Li 3.28, 6 La 3.57
3 La 0.0848 0.0848 0.7457  1 Pa 3.13, 6 La 3.28
4 La 0.9152 0.9152 0.2543  1 Pa 3.13, 6 La 3.28



[10]
Here is Ca2TaHg after structural relaxation from the Alexandria database. Energies are from PBE-GGA.

N(E_F), states/eV per atom: 0.808
ΔE_f, eV/atom: 0.5347
SG: I-4m2 (119)

a b c (Å): 5.8964 5.8964 5.8964
angles (deg): 134.03 134.03 67.04
Last column: nearest neighbours and their distance in Å.
Sites, in units of the cell vectors:
1 Ca 0.0000 0.0000 0.0000  4 Hg 3.26, 4 Ca 3.37, 4 Ta 3.37
2 Ca 0.2500 0.7500 0.5000  4 Ta 3.26, 4 Ca 3.37, 4 Hg 3.37
3 Hg 0.5000 0.5000 0.0000  8 Ca 3.26-3.37, 4 Ta 3.37
4 Ta 0.7500 0.2500 0.5000  8 Ca 3.26-3.37, 4 Hg 3.37



[11]
Here is LiIn2Pb5 after structural relaxation from the Alexandria database. Energies are from PBE-GGA.

N(E_F), states/eV per atom: 0.492
ΔE_f, eV/atom: -0.0120
SG: I4/mmm (139)

a b c (Å): 6.7510 6.7509 6.7509
angles (deg): 105.00 105.01 118.84
Last column: nearest neighbours and their distance in Å.
Sites, in units of the cell vectors:
1 Li 0.7781 0.7778 0.0000  10 Pb 3.37-3.44
2 In 0.2779 0.7782 0.5000  8 Pb 3.37-3.38, 2 In 3.43
3 In 0.7779 0.2782 0.5000  8 Pb 3.37-3.38, 2 In 3.43
4 Pb 0.2780 0.2782 0.5004  2 Li 3.37-3.38, 4 In 3.37-3.38, 4 Pb 3.38-3.43
5 Pb 0.2783 0.7776 0.0000  2 Li 3.37-3.38, 4 In 3.37-3.38, 4 Pb 3.38-3.43
6 Pb 0.7778 0.2779 0.0000  2 Li 3.37-3.38, 4 In 3.37-3.38, 4 Pb 3.38-3.43
7 Pb 0.7775 0.7778 0.4996  2 Li 3.37-3.38, 4 In 3.37-3.38, 4 Pb 3.38-3.43
8 Pb 0.2775 0.2772 0.0000  8 Pb 3.38, 2 Li 3.43-3.44



[12]
Here is RbInTcBi2 after structural relaxation from the Alexandria database. Energies are from PBE-GGA.

N(E_F), states/eV per atom: 0.865
ΔE_f, eV/atom: 0.8459
SG: P4/mmm (123)

a b c (Å): 5.9463 5.3268 5.9463
angles (deg): 90.00 90.00 90.00
Last column: nearest neighbours and their distance in Å.
Sites, in units of the cell vectors:
1 Tc 0.0000 0.5000 0.0000  2 In 2.66
2 Bi 0.0000 0.0000 0.5000  2 In 2.97
3 Bi 0.5000 0.0000 0.0000  2 In 2.97
4 Rb 0.5000 0.5000 0.5000  8 Bi 3.99, 4 Tc 4.20
5 In 0.0000 0.0000 0.0000  2 Tc 2.66, 4 Bi 2.97